BeNi3Ag | the Alexandria database | PBEsol | optimized geometry; formation enthalpy at 0 K = 1.82 eV/atom; crystal system = cubic
1.0
4.488 0.000 0.000
0.000 4.488 0.000
0.000 0.000 4.488
Be Ni Ag
1 3 1
direct
0.000 0.000 0.000
0.000 0.500 0.500
0.500 0.000 0.500
0.500 0.500 0.000
0.500 0.500 0.500



Zr3N2O3 | the Alexandria database | PBEsol | optimized geometry; ΔE_f (raw) = -2680 meV per atom; excess energy over the best structure of this formula in the dataset = 0.033 eV/atom; crystal system = monoclinic
1.0
5.325 -1.998 0.000
5.325 1.998 0.000
-0.109 0.000 10.647
Zr N O
6 4 6
direct
0.000 0.000 0.000
0.006 0.006 0.384
0.046 0.046 0.693
0.671 0.671 0.193
0.719 0.719 0.500
0.726 0.726 0.884
0.160 0.160 0.523
0.565 0.565 0.364
0.568 0.568 0.019
0.909 0.909 0.829
0.109 0.109 0.196
0.171 0.171 0.864
0.617 0.617 0.701
0.818 0.818 0.329
0.820 0.820 0.064
0.907 0.907 0.557



LiZrRh2 | the Alexandria database | PBEsol | optimized geometry; formation enthalpy at 0 K = -0.57 eV/atom; crystal system = tetragonal
1.0
4.133 0.000 0.000
0.000 4.133 0.000
0.000 0.000 3.433
Li Zr Rh
1 1 2
direct
0.000 0.000 0.000
0.500 0.500 0.000
0.000 0.500 0.500
0.500 0.000 0.500



Raw total energy, record by record: -16.7, -163.0, -29.6 eV for the cell shown